# Nd2PaNiS5

A relaxed structure of Nd2PaNiS5 (PBE, the Alexandria database).

Summary:
The total energy comes out at -241.9 eV per cell. The energy relative to the elements, uncorrected comes out at -1670 meV/atom. Its crystal system is orthorhombic.

```
data_Nd2PaNiS5
_cell_length_a 3.8401
_cell_length_b 16.4290
_cell_length_c 12.0652
_cell_angle_alpha 90.00
_cell_angle_beta 90.00
_cell_angle_gamma 90.00
_space_group_name_H-M_alt 'C m c 21'
_space_group_IT_number 36
loop_
_space_group_symop_operation_xyz
'x,y,z'
'-x,-y,z+1/2'
'-x,y,z'
'x,-y,z+1/2'
'x+1/2,y+1/2,z'
'-x+1/2,-y+1/2,z+1/2'
'-x+1/2,y+1/2,z'
'x+1/2,-y+1/2,z+1/2'
loop_
_atom_site_label
_atom_site_type_symbol
_atom_site_fract_x
_atom_site_fract_y
_atom_site_fract_z
Nd1 Nd 0.0000 0.1130 0.0000
Nd2 Nd 0.0000 0.1151 0.3476
Pa1 Pa 0.0000 0.1771 0.6754
Ni1 Ni 0.0000 0.4421 0.0703
S1 S 0.0000 0.0186 0.6610
S2 S 0.0000 0.3037 0.3383
S3 S 0.0000 0.3124 0.0139
S4 S 0.0000 0.3429 0.6729
S5 S 0.0000 0.4952 0.4042
```